# 1
DFT (PBE+U) results for a geometry-optimized Li3VSiO5 structure.

CIF file:
```
data_Li3VSiO5
_chemical_formula_sum 'Li6 V2 Si2 O10'
_cell_length_a 5.0848
_cell_length_b 5.8271
_cell_length_c 6.2707
_cell_angle_alpha 75.50
_cell_angle_beta 76.38
_cell_angle_gamma 74.99
_space_group_name_H-M_alt 'P -1'
_space_group_IT_number 2
loop_
_space_group_symop_operation_xyz
'x,y,z'
'-x,-y,-z'
loop_
_atom_site_label
_atom_site_fract_x
_atom_site_fract_y
_atom_site_fract_z
Li1 0.0192 0.2359 0.4896
Li2 0.1775 0.0491 0.1093
Li3 0.1957 0.5392 0.1015
V1 0.4024 0.3406 0.7186
Si1 0.3958 0.8481 0.7123
O1 0.1438 0.6683 0.7840
O2 0.1504 0.1139 0.7821
O3 0.3387 0.9581 0.4071
O4 0.3466 0.4156 0.3911
O5 0.4993 0.2427 0.0249
```

Output
polymorph energy (0 for the lowest one)	43	meV per atom
final energy	-6.613	eV/atom
total magnetic moment	0.20	μB/atom
N(E_F)	0.000	states/eV/atom



# 2
DFT (PBE+U) results for a geometry-optimized LiVSiO4 structure.

CIF file:
```
data_LiVSiO4
_chemical_formula_sum 'Li12 V12 Si12 O48'
_cell_length_a 10.8655
_cell_length_b 10.8655
_cell_length_c 12.2290
_cell_angle_alpha 90.00
_cell_angle_beta 90.00
_cell_angle_gamma 120.00
_space_group_name_H-M_alt 'P 64 2 2'
_space_group_IT_number 181
_space_group_name_Hall 'P 64 2 (0 0 2)'
loop_
_atom_site_label
_atom_site_fract_x
_atom_site_fract_y
_atom_site_fract_z
Li1 0.0000 0.0000 0.0000
Li2 0.0000 0.5000 0.1608
Li3 0.0000 0.5000 0.8333
V1 0.0000 0.2504 0.3333
V2 0.2509 0.5018 0.0000
Si1 0.0000 0.2450 0.8333
Si2 0.2477 0.4954 0.5000
O1 0.0739 0.1903 0.7426
O2 0.0979 0.4032 0.4328
O3 0.1073 0.3979 0.8933
O4 0.1976 0.5844 0.5791
```

Output
polymorph energy (0 for the lowest one)	83	meV per atom
final energy	-7.283	eV/atom
total magnetic moment	0.29	μB/atom
N(E_F)	0.000	states/eV/atom



# 3
DFT (PBE+U) results for a geometry-optimized LiVSiO4 structure.

CIF file:
```
data_LiVSiO4
_chemical_formula_sum 'Li4 V4 Si4 O16'
_cell_length_a 5.7987
_cell_length_b 5.7987
_cell_length_c 8.0096
_cell_angle_alpha 90.00
_cell_angle_beta 90.00
_cell_angle_gamma 90.00
_space_group_name_H-M_alt 'P 43 2 2'
_space_group_IT_number 95
loop_
_space_group_symop_operation_xyz
'x,y,z'
'-y,x,z+3/4'
'-x,-y,z+1/2'
'y,-x,z+1/4'
'x,-y,-z+1/2'
'-y,-x,-z+3/4'
'-x,y,-z'
'y,x,-z+1/4'
loop_
_atom_site_label
_atom_site_fract_x
_atom_site_fract_y
_atom_site_fract_z
Li1 0.0000 0.2074 0.0000
V1 0.2265 0.5000 0.2500
Si1 0.2577 0.2577 0.6250
O1 0.0225 0.2606 0.7401
O2 0.2614 0.4939 0.5002
```

Output
polymorph energy (0 for the lowest one)	39	meV per atom
final energy	-7.328	eV/atom
total magnetic moment	0.29	μB/atom